Record 1
Density functional theory data (PBE) for Ni4IrN4 after structural relaxation.

Output
Raw formation energy ... 0.404 eV/atom
Symmetry ... P-1

a b c (Å): 5.0662 4.8152 8.7568
angles (deg): 66.67 99.31 85.00
Last column: nearest neighbours and their distance in Å.
Sites, in units of the cell vectors:
Ni: 0.7817 0.5694 0.2144  4 N 1.90-2.01
Ni: 0.2183 0.4306 0.7856  4 N 1.90-2.01
Ni: 0.8754 0.2894 0.9556  3 N 1.85-1.87
Ni: 0.1246 0.7106 0.0444  3 N 1.85-1.87
Ni: 0.6925 0.5114 0.5998  3 N 1.88-2.03
Ni: 0.3075 0.4886 0.4002  3 N 1.88-2.03
Ni: 0.1323 0.0813 0.5994  3 N 1.87-1.94
Ni: 0.8677 0.9187 0.4006  3 N 1.87-1.94
Ir: 0.6940 0.8856 0.7832  4 N 1.97-2.11
Ir: 0.3060 0.1144 0.2168  4 N 1.97-2.11
N: 0.9279 0.7634 0.6467  4 Ni 1.87-1.94, 1 Ir 2.02
N: 0.0721 0.2366 0.3533  4 Ni 1.87-1.94, 1 Ir 2.02
N: 0.7748 0.9081 0.0049  3 Ni 1.85-1.90, 1 Ir 1.97
N: 0.2252 0.0919 0.9951  3 Ni 1.85-1.90, 1 Ir 1.97
N: 0.5323 0.5022 0.9301  1 N 1.31
N: 0.4677 0.4978 0.0699  1 N 1.31
N: 0.5837 0.7306 0.3416  4 Ni 1.87-2.03, 1 Ir 2.01
N: 0.4163 0.2694 0.6584  4 Ni 1.87-2.03, 1 Ir 2.01

=====

Record 2
Density functional theory data (PBE) for Ni2IrN after structural relaxation.

Output
Raw formation energy ... 0.795 eV/atom
Symmetry ... I-42d

a b c (Å): 4.5125 4.5125 6.0939
angles (deg): 68.27 68.27 90.00
Last column: nearest neighbours and their distance in Å.
Sites, in units of the cell vectors:
Ni: 0.4917 0.1250 0.2500  2 N 1.80
Ni: 0.2583 0.6250 0.2500  2 N 1.80
Ni: 0.3750 0.5083 0.7500  2 N 1.80
Ni: 0.8750 0.7417 0.7500  2 N 1.80
Ir: 0.0000 0.0000 0.0000  4 Ni 2.44
Ir: 0.7500 0.2500 0.5000  4 Ni 2.44
N: 0.5000 0.5000 0.0000  4 Ni 1.80
N: 0.2500 0.7500 0.5000  4 Ni 1.80

=====

Q: Which formula does entry 1 have?
A: Ni4IrN4

=====

Q: Number 2 is which compound?
A: Ni2IrN